{"formula": "KAlW", "functional": "GGA-PBE", "state": "optimized geometry", "m_tot_mub_per_cell": 3.00, "de_polymorph_ev_per_atom": 0.000, "dft_energy_ev_per_atom": -4.055, "lattice": [[-3.327, -1.842, 3.026], [-2.894, 2.973, 2.530], [-4.723, 0.311, -1.101]], "species": ["Al", "K", "W"], "fractional_positions": [[0.000, 0.000, 0.000], [0.250, 0.250, 0.250], [0.750, 0.750, 0.750]]}